SmAg4Hg after structural relaxation, computed with PBE.

total DFT energy (no corrections): -17.53 eV/cell
E_form: -0.184 eV per atom
density: 10.38 g/cm³
space-group type: F-43m, No. 216

a = 5.6141 Å, b = 5.6141 Å, c = 5.6141 Å
α = 60.00°, β = 60.00°, γ = 60.00°
Last column: nearest neighbours and their distance in Å.
Positions (direct):
Sm 0.0000 0.0000 0.0000  12 Ag 3.29, 4 Hg 3.44
Ag 0.3753 0.3753 0.3753  6 Ag 2.80-2.81
Ag 0.3753 0.3753 0.8741  6 Ag 2.80-2.81
Ag 0.3753 0.8741 0.3753  6 Ag 2.80-2.81
Ag 0.8741 0.3753 0.3753  6 Ag 2.80-2.81
Hg 0.7500 0.7500 0.7500  12 Ag 3.29, 4 Sm 3.44

Sm3Ag2Hg7 after structural relaxation, computed with PBE.

total DFT energy (no corrections): -24.69 eV/cell
E_form: -0.227 eV per atom
density: 11.46 g/cm³
space-group type: Cmmm, No. 65

a = 15.9382 Å, b = 15.9382 Å, c = 3.8258 Å
α = 90.00°, β = 90.00°, γ = 162.01°
Last column: nearest neighbours and their distance in Å.
Positions (direct):
Sm 0.0000 0.0000 0.0000  12 Hg 3.14-3.42
Sm 0.1808 0.8192 0.0000  4 Ag 3.36, 8 Hg 3.43-3.49
Sm 0.8192 0.1808 0.0000  4 Ag 3.36, 8 Hg 3.43-3.49
Ag 0.3575 0.6425 0.5000  5 Hg 2.72-2.99
Ag 0.6425 0.3575 0.5000  5 Hg 2.72-2.99
Hg 0.0899 0.9101 0.5000  2 Ag 2.99, 4 Hg 3.18
Hg 0.2711 0.7289 0.5000  1 Ag 2.72, 2 Hg 2.82
Hg 0.4255 0.5745 0.0000  2 Ag 2.87, 6 Hg 3.03-3.18
Hg 0.5000 0.5000 0.5000  4 Hg 3.03, 4 Sm 3.14
Hg 0.5745 0.4255 0.0000  2 Ag 2.87, 6 Hg 3.03-3.18
Hg 0.7289 0.2711 0.5000  1 Ag 2.72, 2 Hg 2.82
Hg 0.9101 0.0899 0.5000  2 Ag 2.99, 4 Hg 3.18

Sm3Ag2Hg3 after structural relaxation, computed with PBE.

total DFT energy (no corrections): -46.92 eV/cell
E_form: -0.337 eV per atom
density: 10.47 g/cm³
space-group type: C2/m, No. 12

a = 20.3772 Å, b = 3.9393 Å, c = 5.1772 Å
α = 90.00°, β = 104.50°, γ = 90.00°
Last column: nearest neighbours and their distance in Å.
Positions (direct):
Sm 0.0000 0.0000 0.0000  8 Hg 3.22-3.25
Sm 0.1384 0.0000 0.6366  4 Ag 3.10-3.28, 6 Hg 3.26-3.37
Sm 0.3616 0.5000 0.3634  4 Ag 3.10-3.28, 6 Hg 3.26-3.37
Sm 0.5000 0.5000 0.0000  8 Hg 3.22-3.25
Sm 0.6384 0.5000 0.6366  4 Ag 3.10-3.28, 6 Hg 3.26-3.37
Sm 0.8616 0.0000 0.3634  4 Ag 3.10-3.28, 6 Hg 3.26-3.37
Ag 0.2405 0.0000 0.2383  2 Hg 2.95, 4 Sm 3.10-3.28, 4 Ag 3.26-3.29
Ag 0.2595 0.5000 0.7617  2 Hg 2.95, 4 Sm 3.10-3.28, 4 Ag 3.26-3.29
Ag 0.7405 0.5000 0.2383  2 Hg 2.95, 4 Sm 3.10-3.28, 4 Ag 3.26-3.29
Ag 0.7595 0.0000 0.7617  2 Hg 2.95, 4 Sm 3.10-3.28, 4 Ag 3.26-3.29
Hg 0.0000 0.5000 0.5000  8 Sm 3.25-3.37, 4 Hg 3.63
Hg 0.1292 0.5000 0.1273  2 Ag 2.95, 6 Sm 3.22-3.26
Hg 0.3708 0.0000 0.8727  2 Ag 2.95, 6 Sm 3.22-3.26
Hg 0.5000 0.0000 0.5000  8 Sm 3.25-3.37, 4 Hg 3.63
Hg 0.6292 0.0000 0.1273  2 Ag 2.95, 6 Sm 3.22-3.26
Hg 0.8708 0.5000 0.8727  2 Ag 2.95, 6 Sm 3.22-3.26

Sm3Ag4Hg4 after structural relaxation, computed with PBE.

total DFT energy (no corrections): -29.92 eV/cell
E_form: -0.286 eV per atom
density: 10.88 g/cm³
space-group type: P-1, No. 2

a = 3.4262 Å, b = 4.9034 Å, c = 15.6006 Å
α = 99.02°, β = 96.25°, γ = 90.06°
Last column: nearest neighbours and their distance in Å.
Positions (direct):
Sm 0.0000 0.0000 0.0000  4 Ag 3.32, 8 Hg 3.33, 2 Sm 3.43
Sm 0.1400 0.6394 0.2800  6 Hg 3.30-3.31, 6 Ag 3.32-3.39, 2 Sm 3.43
Sm 0.8600 0.3607 0.7200  6 Hg 3.30-3.31, 6 Ag 3.32-3.39, 2 Sm 3.43
Ag 0.2648 0.2648 0.5290  4 Hg 2.89-2.96, 4 Ag 3.11-3.12
Ag 0.4069 0.9075 0.8141  3 Hg 2.81-2.84
Ag 0.5931 0.0925 0.1859  3 Hg 2.81-2.84
Ag 0.7352 0.7352 0.4710  4 Hg 2.89-2.96, 4 Ag 3.11-3.12
Hg 0.3143 0.8145 0.6285  5 Ag 2.84-2.96
Hg 0.4520 0.4524 0.9043  2 Ag 2.81, 1 Hg 2.93
Hg 0.5480 0.5476 0.0957  2 Ag 2.81, 1 Hg 2.93
Hg 0.6857 0.1855 0.3715  5 Ag 2.84-2.96

Sm3AgHg4 after structural relaxation, computed with PBE.

total DFT energy (no corrections): -21.25 eV/cell
E_form: -0.379 eV per atom
density: 11.11 g/cm³
space-group type: P4/mmm, No. 123

a = 5.2502 Å, b = 5.2502 Å, c = 7.3790 Å
α = 90.00°, β = 90.00°, γ = 90.00°
Last column: nearest neighbours and their distance in Å.
Positions (direct):
Sm 0.0000 0.0000 0.0000  8 Hg 3.25
Sm 0.0000 0.0000 0.5000  8 Hg 3.16
Sm 0.5000 0.5000 0.0000  8 Hg 3.25
Ag 0.5000 0.5000 0.5000  8 Hg 3.16
Hg 0.0000 0.5000 0.2605  2 Ag 3.16, 6 Sm 3.16-3.25, 1 Hg 3.53
Hg 0.0000 0.5000 0.7395  2 Ag 3.16, 6 Sm 3.16-3.25, 1 Hg 3.53
Hg 0.5000 0.0000 0.2605  2 Ag 3.16, 6 Sm 3.16-3.25, 1 Hg 3.53
Hg 0.5000 0.0000 0.7395  2 Ag 3.16, 6 Sm 3.16-3.25, 1 Hg 3.53

TbSm2AgHg4 after structural relaxation, computed with PBE.

total DFT energy (no corrections): -21.33 eV/cell
E_form: -0.400 eV per atom
density: 11.25 g/cm³
space-group type: R-3m, No. 166

a = 9.2179 Å, b = 9.2179 Å, c = 9.2179 Å
α = 32.60°, β = 32.60°, γ = 32.60°
Last column: nearest neighbours and their distance in Å.
Positions (direct):
Tb 0.0000 0.0000 0.0000  8 Hg 3.14-3.23
Sm 0.2419 0.2419 0.2419  8 Hg 3.10-3.37
Sm 0.7581 0.7581 0.7581  8 Hg 3.10-3.37
Ag 0.5000 0.5000 0.5000  8 Hg 3.19-3.38, 6 Sm 3.58
Hg 0.1234 0.1234 0.1234  4 Sm 3.10, 3 Ag 3.19, 1 Tb 3.23
Hg 0.3706 0.3706 0.3706  3 Tb 3.14, 4 Sm 3.31-3.37, 1 Ag 3.38
Hg 0.6294 0.6294 0.6294  3 Tb 3.14, 4 Sm 3.31-3.37, 1 Ag 3.38
Hg 0.8766 0.8766 0.8766  4 Sm 3.10, 3 Ag 3.19, 1 Tb 3.23

TbSmAgHg after structural relaxation, computed with PBE.

total DFT energy (no corrections): -56.22 eV/cell
E_form: -0.388 eV per atom
density: 9.94 g/cm³
space-group type: F-43m, No. 216

a = 7.4460 Å, b = 7.4460 Å, c = 7.4460 Å
α = 90.00°, β = 90.00°, γ = 90.00°
Last column: nearest neighbours and their distance in Å.
Positions (direct):
Tb 0.0000 0.0000 0.0000  4 Hg 3.22, 4 Ag 3.22
Tb 0.0000 0.5000 0.5000  4 Ag 3.22, 4 Hg 3.22
Tb 0.5000 0.0000 0.5000  4 Ag 3.22, 4 Hg 3.22
Tb 0.5000 0.5000 0.0000  4 Ag 3.22, 4 Hg 3.22
Sm 0.0000 0.0000 0.5000  4 Hg 3.22, 4 Ag 3.22
Sm 0.0000 0.5000 0.0000  4 Hg 3.22, 4 Ag 3.22
Sm 0.5000 0.0000 0.0000  4 Hg 3.22, 4 Ag 3.22
Sm 0.5000 0.5000 0.5000  4 Hg 3.22, 4 Ag 3.22
Ag 0.2500 0.2500 0.2500  4 Tb 3.22, 4 Sm 3.22
Ag 0.2500 0.7500 0.7500  4 Tb 3.22, 4 Sm 3.22
Ag 0.7500 0.2500 0.7500  4 Tb 3.22, 4 Sm 3.22
Ag 0.7500 0.7500 0.2500  4 Tb 3.22, 4 Sm 3.22
Hg 0.2500 0.2500 0.7500  4 Tb 3.22, 4 Sm 3.22
Hg 0.2500 0.7500 0.2500  4 Tb 3.22, 4 Sm 3.22
Hg 0.7500 0.2500 0.2500  4 Tb 3.22, 4 Sm 3.22
Hg 0.7500 0.7500 0.7500  4 Sm 3.22, 4 Tb 3.22

Tb2SmAgHg4 after structural relaxation, computed with PBE.

total DFT energy (no corrections): -21.14 eV/cell
E_form: -0.388 eV per atom
density: 11.44 g/cm³
space-group type: R-3m, No. 166

a = 9.3535 Å, b = 9.3535 Å, c = 9.3535 Å
α = 31.65°, β = 31.65°, γ = 31.65°
Last column: nearest neighbours and their distance in Å.
Positions (direct):
Tb 0.2402 0.2402 0.2402  7 Hg 3.06-3.22
Tb 0.7598 0.7598 0.7598  7 Hg 3.06-3.22
Sm 0.0000 0.0000 0.0000  8 Hg 3.17-3.32
Ag 0.5000 0.5000 0.5000  8 Hg 3.15-3.27
Hg 0.1246 0.1246 0.1246  4 Tb 3.06-3.08, 3 Ag 3.15, 1 Sm 3.32
Hg 0.3773 0.3773 0.3773  3 Sm 3.17, 3 Tb 3.22, 1 Ag 3.27
Hg 0.6227 0.6227 0.6227  3 Sm 3.17, 3 Tb 3.22, 1 Ag 3.27
Hg 0.8754 0.8754 0.8754  4 Tb 3.06-3.08, 3 Ag 3.15, 1 Sm 3.32

TbSmAgHg after structural relaxation, computed with PBE.

total DFT energy (no corrections): -14.05 eV/cell
E_form: -0.387 eV per atom
density: 9.94 g/cm³
space-group type: P4mm, No. 99

a = 3.7119 Å, b = 3.7119 Å, c = 7.4890 Å
α = 90.00°, β = 90.00°, γ = 90.00°
Last column: nearest neighbours and their distance in Å.
Positions (direct):
Tb 0.0000 0.0000 0.0000  4 Ag 3.16, 4 Hg 3.22
Sm 0.0000 0.0000 0.5110  4 Ag 3.24, 4 Hg 3.28
Ag 0.5000 0.5000 0.7655  4 Tb 3.16, 4 Sm 3.24
Hg 0.5000 0.5000 0.2488  4 Tb 3.22, 4 Sm 3.28

TbSm2Ag2Hg2 after structural relaxation, computed with PBE.

total DFT energy (no corrections): -22.05 eV/cell
E_form: -0.239 eV per atom
density: 9.85 g/cm³
space-group type: R-3m, No. 166

a = 9.2247 Å, b = 9.2247 Å, c = 9.2247 Å
α = 30.70°, β = 30.70°, γ = 30.70°
Last column: nearest neighbours and their distance in Å.
Positions (direct):
Tb 0.0000 0.0000 0.0000  2 Sm 3.24, 6 Ag 3.25, 6 Hg 3.38
Sm 0.1231 0.1231 0.1231  3 Hg 3.14, 1 Tb 3.24, 3 Ag 3.26
Sm 0.8769 0.8769 0.8769  3 Hg 3.14, 1 Tb 3.24, 3 Ag 3.26
Ag 0.3945 0.3945 0.3945  3 Hg 2.83
Ag 0.6055 0.6055 0.6055  3 Hg 2.83
Hg 0.2628 0.2628 0.2628  3 Ag 2.83, 3 Sm 3.14
Hg 0.7372 0.7372 0.7372  3 Ag 2.83, 3 Sm 3.14

For each record above, in turn, the calculated density of states at the Fermi level values are 1.20 0.69 0.70 0.64 0.83 0.93 0.74 0.81 0.81 0.81 states/eV/atom.